Entry from Alexandria: a relaxed structure of Cd2FeRe (PBE).

Geometry as CIF:
```
data_Cd2FeRe
_space_group_name_H-M_alt 'C 1 2/m 1'
_space_group_IT_number 12
_space_group_name_Hall '-C 2y'
_cell_length_a 5.5472
_cell_length_b 9.4314
_cell_length_c 2.7190
_cell_angle_alpha 90.00
_cell_angle_beta 109.89
_cell_angle_gamma 90.00
loop_
_atom_site_label
_atom_site_type_symbol
_atom_site_fract_x
_atom_site_fract_y
_atom_site_fract_z
_atom_site_occupancy
Cd1 Cd 0.2500 0.2500 0.0000 1
Fe1 Fe 0.0000 0.0000 0.5000 1
Re1 Re 0.0000 0.5000 0.5000 1
```

Calculated values
- DOS(E_F) (states/eV per atom) = 0.696
- E above lowest polymorph (meV per atom) = 336

=====

Entry from Alexandria: a relaxed structure of CdFe4Re (PBE).

Geometry as CIF:
```
data_CdFe4Re
_space_group_name_H-M_alt 'F -4 3 m'
_space_group_IT_number 216
_space_group_name_Hall 'F -4 2 3'
_cell_length_a 6.7774
_cell_length_b 6.7774
_cell_length_c 6.7774
_cell_angle_alpha 90.00
_cell_angle_beta 90.00
_cell_angle_gamma 90.00
loop_
_atom_site_label
_atom_site_type_symbol
_atom_site_fract_x
_atom_site_fract_y
_atom_site_fract_z
_atom_site_occupancy
Cd1 Cd 0.0000 0.0000 0.0000 1
Fe1 Fe 0.1237 0.1237 0.6237 1
Re1 Re 0.2500 0.2500 0.2500 1
```

Calculated values
- DOS(E_F) (states/eV per atom) = 1.156

=====

| no. | ΔE_f (eV per atom) | total energy (eV for the cell shown) |
| --- | --- | --- |
| 1 | 0.58 | -40.831 |
| 2 | 0.27 | -182.339 |